Entry 1:
VASP calculation (GGA-PBEsol) on crystalline Ce3PrO8 at its relaxed geometry.

Lattice parameters (Å, degrees): 5.4478 5.4478 6.6768 114.08 114.08 90.00
Closest atoms and distances in Å follow each position.
Element x y z (fractional)
O (0.8716, 0.3846, 0.2562)  3 Ce 2.34, 1 Pr 2.42
O (0.1284, 0.1284, 0.7438)  3 Ce 2.34, 1 Pr 2.42
O (0.1284, 0.6154, 0.7438)  3 Ce 2.34, 1 Pr 2.42
O (0.6154, 0.1284, 0.7438)  3 Ce 2.34, 1 Pr 2.42
O (0.3846, 0.3846, 0.2562)  3 Ce 2.34, 1 Pr 2.42
O (0.3846, 0.8716, 0.2562)  3 Ce 2.34, 1 Pr 2.42
O (0.8716, 0.8716, 0.2562)  3 Ce 2.34, 1 Pr 2.42
O (0.6154, 0.6154, 0.7438)  3 Ce 2.34, 1 Pr 2.42
Ce (0.7500, 0.2500, 0.5000)  8 O 2.34
Ce (0.5000, 0.5000, 0.0000)  8 O 2.34
Ce (0.2500, 0.7500, 0.5000)  8 O 2.34
Pr (0.0000, 0.0000, 0.0000)  8 O 2.42

## Properties
- SG = No. 139

Entry 2:
VASP calculation (GGA-PBEsol) on crystalline CePr2O6 at its relaxed geometry.

Lattice parameters (Å, degrees): 3.8827 3.8827 8.9717 102.50 102.50 90.00
Closest atoms and distances in Å follow each position.
Element x y z (fractional)
O (0.7500, 0.2500, 0.5000)  4 Pr 2.46, 4 O 2.75
O (0.4227, 0.9227, 0.8453)  2 Ce 2.35, 2 Pr 2.41
O (0.2500, 0.7500, 0.5000)  4 Pr 2.46, 4 O 2.75
O (0.0773, 0.5773, 0.1547)  2 Ce 2.35, 2 Pr 2.41
O (0.5773, 0.0773, 0.1547)  2 Ce 2.35, 2 Pr 2.41
O (0.9227, 0.4227, 0.8453)  2 Ce 2.35, 2 Pr 2.41
Ce (0.0000, 0.0000, 0.0000)  8 O 2.35
Pr (0.3386, 0.3386, 0.6772)  8 O 2.41-2.46
Pr (0.6614, 0.6614, 0.3228)  8 O 2.41-2.46

## Properties
- SG = No. 139

Entry 3:
VASP calculation (GGA-PBEsol) on crystalline CePrO2 at its relaxed geometry.

Lattice parameters (Å, degrees): 4.9774 4.9774 6.0812 114.16 114.16 90.00
Closest atoms and distances in Å follow each position.
Element x y z (fractional)
O (0.7463, 0.7463, 0.4926)  3 Ce 2.44-2.49, 3 Pr 2.49-2.52
O (0.9963, 0.4963, 0.9926)  3 Ce 2.44-2.49, 3 Pr 2.49-2.52
O (0.5037, 0.0037, 0.0074)  3 Ce 2.44-2.49, 3 Pr 2.49-2.52
O (0.2537, 0.2537, 0.5074)  3 Ce 2.44-2.49, 3 Pr 2.49-2.52
Pr (0.2500, 0.7500, 0.5000)  6 O 2.49-2.52
Pr (0.0000, 0.0000, 0.0000)  6 O 2.49-2.52
Ce (0.7500, 0.2500, 0.5000)  6 O 2.44-2.49
Ce (0.5000, 0.5000, 0.0000)  6 O 2.44-2.49

## Properties
- SG = No. 141

Entry 4:
VASP calculation (GGA-PBEsol) on crystalline CePr3O8 at its relaxed geometry.

Lattice parameters (Å, degrees): 3.9511 3.9511 13.0513 81.29 81.29 60.00
Closest atoms and distances in Å follow each position.
Element x y z (fractional)
O (0.3159, 0.3159, 0.0522)  3 Ce 2.38, 1 Pr 2.46, 3 O 2.65
O (0.9415, 0.9415, 0.1754)  1 Ce 2.25, 3 Pr 2.44
O (0.8120, 0.8120, 0.5641)  4 Pr 2.43-2.47
O (0.4368, 0.4368, 0.6897)  4 Pr 2.44
O (0.1880, 0.1880, 0.4359)  4 Pr 2.43-2.47
O (0.6841, 0.6841, 0.9478)  3 Ce 2.38, 1 Pr 2.46, 3 O 2.65
O (0.0585, 0.0585, 0.8246)  1 Ce 2.25, 3 Pr 2.44
O (0.5632, 0.5632, 0.3103)  4 Pr 2.44
Ce (0.0000, 0.0000, 0.0000)  8 O 2.25-2.38
Pr (0.5000, 0.5000, 0.5000)  8 O 2.43-2.44
Pr (0.7478, 0.7478, 0.7565)  8 O 2.44-2.47
Pr (0.2522, 0.2522, 0.2435)  8 O 2.44-2.47

## Properties
- SG = No. 166

Entry 5:
VASP calculation (GGA-PBEsol) on crystalline Ce4S3O4 at its relaxed geometry.

Lattice parameters (Å, degrees): 3.9079 6.7305 14.4393 90.00 90.00 90.00
Closest atoms and distances in Å follow each position.
Element x y z (fractional)
O (0.0000, 0.3611, 0.5742)  4 Ce 2.27-2.41
O (0.5000, 0.6208, 0.6285)  3 Ce 2.19-2.26
O (0.0000, 0.1389, 0.0742)  4 Ce 2.27-2.41
O (0.5000, 0.1208, 0.8715)  3 Ce 2.19-2.26
O (0.0000, 0.6389, 0.4258)  4 Ce 2.27-2.41
O (0.5000, 0.8792, 0.1285)  3 Ce 2.19-2.26
O (0.0000, 0.8611, 0.9258)  4 Ce 2.27-2.41
O (0.5000, 0.3792, 0.3715)  3 Ce 2.19-2.26
S (0.0000, 0.4996, 0.7799)  5 Ce 2.79-2.96, 3 O 3.04-3.11
S (0.0000, 0.9996, 0.7201)  5 Ce 2.79-2.96, 3 O 3.04-3.11
S (0.5000, 0.0000, 0.5000)  6 Ce 2.95-3.03, 6 O 3.16-3.30
S (0.0000, 0.5004, 0.2201)  5 Ce 2.79-2.96, 3 O 3.04-3.11
S (0.0000, 0.0004, 0.2799)  5 Ce 2.79-2.96, 3 O 3.04-3.11
S (0.5000, 0.5000, 0.0000)  6 Ce 2.95-3.03, 6 O 3.16-3.30
Ce (0.0000, 0.7188, 0.5783)  4 O 2.19-2.41
Ce (0.0000, 0.7812, 0.0783)  4 O 2.19-2.41
Ce (0.0000, 0.2812, 0.4217)  4 O 2.19-2.41
Ce (0.0000, 0.2188, 0.9217)  4 O 2.19-2.41
Ce (0.5000, 0.7085, 0.3398)  3 O 2.26-2.36
Ce (0.5000, 0.7915, 0.8398)  3 O 2.26-2.36
Ce (0.5000, 0.2085, 0.1602)  3 O 2.26-2.36
Ce (0.5000, 0.2915, 0.6602)  3 O 2.26-2.36

## Properties
- SG = No. 55

Entry 6:
VASP calculation (GGA-PBEsol) on crystalline Ce3S3O16 at its relaxed geometry.

Lattice parameters (Å, degrees): 9.2478 9.2478 9.2478 108.61 108.61 111.22
Closest atoms and distances in Å follow each position.
Element x y z (fractional)
O (0.7834, 0.6858, 0.2377)  1 S 1.48
O (0.2166, 0.3142, 0.7623)  1 S 1.48
O (0.3766, 0.8512, 0.2278)  1 S 1.48
O (0.7635, 0.3262, 0.0898)  1 S 1.47
O (0.1295, 0.5649, 0.3530)  1 S 1.48
O (0.6234, 0.1488, 0.7722)  1 S 1.48
O (0.4481, 0.5457, 0.7623)  1 S 1.48
O (0.2118, 0.7765, 0.6470)  1 S 1.48
O (0.7439, 0.9803, 0.9691)  3 Ce 2.24-2.26
O (0.0197, 0.9888, 0.7636)  3 Ce 2.24-2.26
O (0.9888, 0.2252, 0.9691)  3 Ce 2.24-2.26
O (0.3142, 0.5519, 0.0976)  1 S 1.48
O (0.6738, 0.7635, 0.4373)  1 S 1.47
O (0.2365, 0.6738, 0.9102)  1 S 1.47
O (0.9803, 0.0112, 0.2364)  3 Ce 2.24-2.26
O (0.8705, 0.4351, 0.6470)  1 S 1.48
O (0.3262, 0.2365, 0.5627)  1 S 1.47
O (0.0112, 0.7748, 0.0309)  3 Ce 2.24-2.26
O (0.8512, 0.6234, 0.4746)  1 S 1.48
O (0.7748, 0.7439, 0.7636)  3 Ce 2.24-2.26
O (0.5457, 0.7834, 0.0976)  1 S 1.48
O (0.2561, 0.0197, 0.0309)  3 Ce 2.24-2.26
O (0.5649, 0.2118, 0.4354)  1 S 1.48
O (0.7882, 0.2235, 0.3530)  1 S 1.48
O (0.7765, 0.1295, 0.5646)  1 S 1.48
O (0.1488, 0.3766, 0.5254)  1 S 1.48
O (0.6858, 0.4481, 0.9024)  1 S 1.48
O (0.2252, 0.2561, 0.2364)  3 Ce 2.24-2.26
O (0.4543, 0.2166, 0.9024)  1 S 1.48
O (0.5519, 0.4543, 0.2377)  1 S 1.48
O (0.2235, 0.8705, 0.4354)  1 S 1.48
O (0.4351, 0.7882, 0.5646)  1 S 1.48
S (0.2852, 0.3668, 0.6520)  4 O 1.47-1.48
S (0.6332, 0.2852, 0.9184)  4 O 1.47-1.48
S (0.3668, 0.7148, 0.0816)  4 O 1.47-1.48
S (0.2500, 0.7500, 0.5000)  4 O 1.48
S (0.7148, 0.6332, 0.3480)  4 O 1.47-1.48
S (0.7500, 0.2500, 0.5000)  4 O 1.48
Ce (0.9692, 0.2419, 0.2111)  8 O 2.25-2.43
Ce (0.2419, 0.0308, 0.2728)  8 O 2.25-2.43
Ce (0.0308, 0.7581, 0.7889)  8 O 2.25-2.43
Ce (0.2470, 0.2470, 0.0000)  8 O 2.24-2.43
Ce (0.7581, 0.9692, 0.7272)  8 O 2.25-2.43
Ce (0.7530, 0.7530, 0.0000)  8 O 2.24-2.43

## Properties
- SG = No. 87

Entry 7:
VASP calculation (GGA-PBEsol) on crystalline CeScO3 at its relaxed geometry.

Lattice parameters (Å, degrees): 5.5615 5.7765 7.9540 90.00 90.00 90.00
Closest atoms and distances in Å follow each position.
Element x y z (fractional)
O (0.1947, 0.1966, 0.9408)  2 Sc 2.10-2.11, 1 Ce 2.34
O (0.3053, 0.6966, 0.5592)  2 Sc 2.10-2.11, 1 Ce 2.34
O (0.1145, 0.4582, 0.2500)  2 Sc 2.10, 1 Ce 2.31
O (0.8053, 0.8034, 0.0592)  2 Sc 2.10-2.11, 1 Ce 2.34
O (0.6947, 0.3034, 0.4408)  2 Sc 2.10-2.11, 1 Ce 2.34
O (0.8053, 0.8034, 0.4408)  2 Sc 2.10-2.11, 1 Ce 2.34
O (0.3855, 0.9582, 0.2500)  2 Sc 2.10, 1 Ce 2.31
O (0.6145, 0.0418, 0.7500)  2 Sc 2.10, 1 Ce 2.31
O (0.6947, 0.3034, 0.0592)  2 Sc 2.10-2.11, 1 Ce 2.34
O (0.8855, 0.5418, 0.7500)  2 Sc 2.10, 1 Ce 2.31
O (0.3053, 0.6966, 0.9408)  2 Sc 2.10-2.11, 1 Ce 2.34
O (0.1947, 0.1966, 0.5592)  2 Sc 2.10-2.11, 1 Ce 2.34
Sc (0.5000, 0.0000, 0.0000)  6 O 2.10-2.11
Sc (0.0000, 0.5000, 0.5000)  6 O 2.10-2.11
Sc (0.0000, 0.5000, 0.0000)  6 O 2.10-2.11
Sc (0.5000, 0.0000, 0.5000)  6 O 2.10-2.11
Ce (0.9846, 0.0596, 0.2500)  4 O 2.31-2.41
Ce (0.0154, 0.9404, 0.7500)  4 O 2.31-2.41
Ce (0.4846, 0.4404, 0.7500)  4 O 2.31-2.41
Ce (0.5154, 0.5596, 0.2500)  4 O 2.31-2.41

## Properties
- SG = No. 62

Entry 8:
VASP calculation (GGA-PBEsol) on crystalline Ce2SeO2 at its relaxed geometry.

Lattice parameters (Å, degrees): 3.9324 3.9324 6.9123 90.00 90.00 120.00
Closest atoms and distances in Å follow each position.
Element x y z (fractional)
O (0.3333, 0.6667, 0.8743)  4 Ce 2.33-2.35
O (0.6667, 0.3333, 0.1257)  4 Ce 2.33-2.35
Ce (0.6667, 0.3333, 0.7887)  4 O 2.33-2.35
Ce (0.3333, 0.6667, 0.2113)  4 O 2.33-2.35
Se (0.0000, 0.0000, 0.5000)  6 Ce 3.02

## Properties
- SG = No. 164

Entry 9:
VASP calculation (GGA-PBEsol) on crystalline Ce2SeO2 at its relaxed geometry.

Lattice parameters (Å, degrees): 3.8751 3.8751 6.6948 106.82 106.82 90.00
Closest atoms and distances in Å follow each position.
Element x y z (fractional)
Ce (0.3520, 0.3520, 0.7040)  4 O 2.30
Ce (0.6480, 0.6480, 0.2960)  4 O 2.30
O (0.7500, 0.2500, 0.5000)  4 Ce 2.30
O (0.2500, 0.7500, 0.5000)  4 Ce 2.30
Se (0.0000, 0.0000, 0.0000)  8 Ce 3.28, 8 O 3.62

## Properties
- SG = No. 139

Entry 10:
VASP calculation (GGA-PBEsol) on crystalline CeSe2O6 at its relaxed geometry.

Lattice parameters (Å, degrees): 7.0443 7.1371 10.7612 90.00 90.00 105.69
Closest atoms and distances in Å follow each position.
Element x y z (fractional)
O (0.5724, 0.9640, 0.8938)  1 Se 1.74
O (0.3567, 0.3058, 0.2565)  1 Se 1.71
O (0.0933, 0.0917, 0.0993)  1 Se 1.75
O (0.8567, 0.8058, 0.2435)  1 Se 1.71
O (0.4067, 0.4083, 0.5993)  1 Se 1.75
O (0.9603, 0.8219, 0.5878)  1 Se 1.74
O (0.1433, 0.1942, 0.7565)  1 Se 1.71
O (0.2133, 0.6290, 0.2188)  1 Se 1.73
O (0.4276, 0.0360, 0.1062)  1 Se 1.74
O (0.0397, 0.1781, 0.4122)  1 Se 1.74
O (0.1968, 0.7040, 0.9785)  1 Se 1.73
O (0.2867, 0.8710, 0.7188)  1 Se 1.73
O (0.5933, 0.5917, 0.4007)  1 Se 1.75
O (0.4603, 0.3219, 0.9122)  1 Se 1.74
O (0.6433, 0.6942, 0.7435)  1 Se 1.71
O (0.9276, 0.5360, 0.3938)  1 Se 1.74
O (0.5397, 0.6781, 0.0878)  1 Se 1.74
O (0.3031, 0.7960, 0.4785)  1 Se 1.73
O (0.0724, 0.4640, 0.6062)  1 Se 1.74
O (0.6968, 0.2040, 0.5215)  1 Se 1.73
O (0.8032, 0.2960, 0.0215)  1 Se 1.73
O (0.7133, 0.1290, 0.2812)  1 Se 1.73
O (0.9067, 0.9083, 0.9007)  1 Se 1.75
O (0.7867, 0.3710, 0.7812)  1 Se 1.73
Se (0.7099, 0.4396, 0.9224)  3 O 1.73-1.74
Se (0.7423, 0.9319, 0.7836)  3 O 1.71-1.75
Se (0.2901, 0.5604, 0.0776)  3 O 1.73-1.74
Se (0.2423, 0.4319, 0.7164)  3 O 1.71-1.75
Se (0.7577, 0.5681, 0.2836)  3 O 1.71-1.75
Se (0.2577, 0.0681, 0.2164)  3 O 1.71-1.75
Se (0.2099, 0.9396, 0.5776)  3 O 1.73-1.74
Se (0.7901, 0.0604, 0.4224)  3 O 1.73-1.74
Ce (0.2585, 0.0090, 0.9057)  7 O 2.24-2.45
Ce (0.7585, 0.5090, 0.5943)  7 O 2.24-2.45
Ce (0.7415, 0.9910, 0.0943)  7 O 2.24-2.45
Ce (0.2415, 0.4910, 0.4057)  7 O 2.24-2.45

## Properties
- SG = No. 14

Entry 11:
VASP calculation (GGA-PBEsol) on crystalline Ce2SiSeO4 at its relaxed geometry.

Lattice parameters (Å, degrees): 6.2183 7.1432 10.9803 90.00 90.00 90.00
Closest atoms and distances in Å follow each position.
Element x y z (fractional)
O (0.2695, 0.4274, 0.9683)  1 Si 1.64
O (0.7305, 0.5726, 0.0317)  1 Si 1.64
O (0.9507, 0.2637, 0.3813)  1 Si 1.65
O (0.0493, 0.7637, 0.1187)  1 Si 1.65
O (0.9507, 0.2363, 0.6187)  1 Si 1.65
O (0.2695, 0.4274, 0.5317)  1 Si 1.64
O (0.9507, 0.2637, 0.1187)  1 Si 1.65
O (0.7305, 0.9274, 0.5317)  1 Si 1.64
O (0.0493, 0.7363, 0.6187)  1 Si 1.65
O (0.2695, 0.0726, 0.4683)  1 Si 1.64
O (0.0493, 0.7363, 0.8813)  1 Si 1.65
O (0.2695, 0.0726, 0.0317)  1 Si 1.64
O (0.7305, 0.9274, 0.9683)  1 Si 1.64
O (0.9507, 0.2363, 0.8813)  1 Si 1.65
O (0.7305, 0.5726, 0.4683)  1 Si 1.64
O (0.0493, 0.7637, 0.3813)  1 Si 1.65
Si (0.1119, 0.2500, 0.0000)  4 O 1.64-1.65
Si (0.8881, 0.7500, 0.5000)  4 O 1.64-1.65
Si (0.1119, 0.2500, 0.5000)  4 O 1.64-1.65
Si (0.8881, 0.7500, 0.0000)  4 O 1.64-1.65
Ce (0.6066, 0.2500, 0.0000)  6 O 2.45-2.51
Ce (0.1330, 0.0327, 0.2500)  6 O 2.46-2.56
Ce (0.6066, 0.2500, 0.5000)  6 O 2.45-2.51
Ce (0.8670, 0.5327, 0.2500)  6 O 2.46-2.56
Ce (0.1330, 0.4673, 0.7500)  6 O 2.46-2.56
Ce (0.3934, 0.7500, 0.0000)  6 O 2.45-2.51
Ce (0.8670, 0.9673, 0.7500)  6 O 2.46-2.56
Ce (0.3934, 0.7500, 0.5000)  6 O 2.45-2.51
Se (0.5799, 0.6101, 0.7500)  4 Ce 2.96-3.14, 2 O 3.24
Se (0.4201, 0.3899, 0.2500)  4 Ce 2.96-3.14, 2 O 3.24
Se (0.4201, 0.1101, 0.7500)  4 Ce 2.96-3.14, 2 O 3.24
Se (0.5799, 0.8899, 0.2500)  4 Ce 2.96-3.14, 2 O 3.24

## Properties
- SG = No. 57

Entry 12:
VASP calculation (GGA-PBEsol) on crystalline Ce5Sm2O13 at its relaxed geometry.

Lattice parameters (Å, degrees): 3.8098 3.8098 22.2314 85.08 85.08 60.00
Closest atoms and distances in Å follow each position.
Element x y z (fractional)
O (0.3938, 0.3938, 0.8185)  4 Ce 2.32-2.38
O (0.7504, 0.7504, 0.7488)  4 Ce 2.27-2.35
O (0.8917, 0.8917, 0.3250)  4 Ce 2.29-2.35
O (0.1074, 0.1074, 0.6779)  4 Ce 2.32-2.40
O (0.0374, 0.0374, 0.8877)  3 Ce 2.34, 1 Sm 2.38
O (0.2483, 0.2483, 0.2552)  1 Sm 2.31, 3 Ce 2.31
O (0.1779, 0.1779, 0.4662)  4 Ce 2.29-2.35
O (0.6752, 0.6752, 0.9744)  3 Sm 2.25
O (0.8211, 0.8211, 0.5367)  4 Ce 2.32-2.39
O (0.5348, 0.5348, 0.3955)  4 Ce 2.32-2.39
O (0.6056, 0.6056, 0.1833)  1 Ce 2.30, 3 Sm 2.31
O (0.4642, 0.4642, 0.6074)  4 Ce 2.29-2.35
O (0.9688, 0.9688, 0.0938)  1 Sm 2.18
Ce (0.8572, 0.8572, 0.4285)  8 O 2.29-2.39
Ce (0.4297, 0.4297, 0.7108)  8 O 2.29-2.38
Ce (0.7162, 0.7162, 0.8515)  7 O 2.27-2.34
Ce (0.1435, 0.1435, 0.5696)  8 O 2.29-2.40
Ce (0.5709, 0.5709, 0.2874)  8 O 2.30-2.39
Sm (0.0016, 0.0016, 0.9953)  5 O 2.18-2.38
Sm (0.2831, 0.2831, 0.1508)  7 O 2.31-2.54

## Properties
- SG = No. 160

For reference, ΔE_f (raw) by record: -3246; -2867; -2857; -2788; -2885; -2064; -3443; -2953; -2901; -1676; -2885; -3443 meV per atom.